The following is a DFT calculation (GGA+U) of an optimized crystal structure of NaFeB2O.

a = 3.798 Å, b = 6.200 Å, c = 3.798 Å
α = 90.00°, β = 90.00°, γ = 90.00°
Site moments in Bohr magnetons follow the coordinates.
Atoms (fractional coordinates):
B: 0.000 0.000 0.500  -0.14
B: 0.500 0.000 0.000  -0.22
O: 0.500 0.500 0.500  0.77
Na: 0.000 0.500 0.000  0.00
Fe: 0.000 0.000 0.000  2.64

## Properties
Its calculated density is 2.16 g/cm3. For the size of the total moment, the calculation gives 3.0 μB per cell. The volume is 17.88 A^3/atom. As for the total energy: -3.7613 eV/atom.